Entry 1:
# ZrGeBrO4 (PBE, relaxed)
data_ZrGeBrO4
_symmetry_space_group_name_H-M 'P 1'
_symmetry_Int_Tables_number 1
_symmetry_space_group_name_Hall 'P 1'
_cell_length_a 6.480
_cell_length_b 6.480
_cell_length_c 6.619
_cell_angle_alpha 77.72
_cell_angle_beta 77.72
_cell_angle_gamma 55.97
loop_
_atom_site_label
_atom_site_fract_x
_atom_site_fract_y
_atom_site_fract_z
O1 0.899 0.472 0.876
O2 0.476 0.476 0.779
O3 0.101 0.528 0.124
O4 0.472 0.899 0.876
O5 0.701 0.701 0.466
O6 0.299 0.299 0.534
O7 0.528 0.101 0.124
O8 0.524 0.524 0.221
Zr1 0.703 0.703 0.160
Zr2 0.297 0.297 0.840
Br1 0.019 0.019 0.322
Br2 0.981 0.981 0.678
Ge1 0.367 0.367 0.270
Ge2 0.633 0.633 0.730
# - total magnetic moment (μB/f.u.) = 0.000
# - energy relative to the elements, uncorrected (meV/atom) = -1998
# - DFT total energy (eV per atom) = -6.95


Entry 2:
# GeOs2Br (PBE, relaxed)
data_GeOs2Br
_symmetry_space_group_name_H-M 'P 1'
_symmetry_Int_Tables_number 1
_symmetry_space_group_name_Hall 'P 1'
_cell_length_a 5.512
_cell_length_b 5.512
_cell_length_c 6.863
_cell_angle_alpha 66.32
_cell_angle_beta 66.32
_cell_angle_gamma 90.00
loop_
_atom_site_label
_atom_site_fract_x
_atom_site_fract_y
_atom_site_fract_z
Ge1 0.500 0.500 0.000
Ge2 0.250 0.750 0.500
Os1 0.875 0.875 0.750
Os2 0.625 0.125 0.250
Os3 0.125 0.625 0.250
Os4 0.375 0.375 0.750
Br1 0.750 0.250 0.500
Br2 0.000 0.000 0.000
# - total magnetic moment (μB/f.u.) = 0.000
# - energy relative to the elements, uncorrected (meV/atom) = 1312
# - distance to the lowest polymorph of the same formula (kJ/mol of formula units) = 76.7
# - DFT total energy (eV per atom) = -5.88


Entry 3:
# Ge2OsBr (PBE, relaxed)
data_Ge2OsBr
_symmetry_space_group_name_H-M 'P 1'
_symmetry_Int_Tables_number 1
_symmetry_space_group_name_Hall 'P 1'
_cell_length_a 4.705
_cell_length_b 4.705
_cell_length_c 4.705
_cell_angle_alpha 60.00
_cell_angle_beta 60.00
_cell_angle_gamma 60.00
loop_
_atom_site_label
_atom_site_fract_x
_atom_site_fract_y
_atom_site_fract_z
Ge1 0.250 0.250 0.250
Ge2 0.750 0.750 0.750
Os1 0.500 0.500 0.500
Br1 0.000 0.000 0.000
# - total magnetic moment (μB/f.u.) = 1.087
# - energy relative to the elements, uncorrected (meV/atom) = 1006
# - distance to the lowest polymorph of the same formula (kJ/mol of formula units) = 224.5
# - DFT total energy (eV per atom) = -4.53


Entry 4:
# GeOs2Br (PBE, relaxed)
data_GeOs2Br
_symmetry_space_group_name_H-M 'P 1'
_symmetry_Int_Tables_number 1
_symmetry_space_group_name_Hall 'P 1'
_cell_length_a 4.440
_cell_length_b 4.440
_cell_length_c 4.440
_cell_angle_alpha 60.00
_cell_angle_beta 60.00
_cell_angle_gamma 60.00
loop_
_atom_site_label
_atom_site_fract_x
_atom_site_fract_y
_atom_site_fract_z
Ge1 0.000 0.000 0.000
Os1 0.250 0.250 0.250
Os2 0.750 0.750 0.750
Br1 0.500 0.500 0.500
# - total magnetic moment (μB/f.u.) = 0.000
# - energy relative to the elements, uncorrected (meV/atom) = 1113
# - distance to the lowest polymorph of the same formula (kJ/mol of formula units) = 0.0
# - DFT total energy (eV per atom) = -6.07